# 1
# ScSn3Ge (GGA-PBE, relaxed)
# calculated formation energy: 2.70 eV/f.u.
# ΔE to the lowest computed polymorph: 53 meV per atom
data_ScSn3Ge
_space_group_name_H-M_alt 'P 1'
_space_group_IT_number 1
_cell_length_a 5.467
_cell_length_b 5.467
_cell_length_c 5.467
_cell_angle_alpha 90.00
_cell_angle_beta 90.00
_cell_angle_gamma 90.00
loop_
_space_group_symop_operation_xyz
'x,y,z'
loop_
_atom_site_label
_atom_site_fract_x
_atom_site_fract_y
_atom_site_fract_z
Sn1 0.000 0.000 0.500
Sn2 0.500 0.000 0.000
Sn3 0.000 0.500 0.000
Ge1 0.500 0.500 0.500
Sc1 0.000 0.000 0.000



# 2
# ScSn3Ge (GGA-PBE, relaxed)
# calculated formation energy: 2.43 eV/f.u.
# ΔE to the lowest computed polymorph: 0 meV per atom
data_ScSn3Ge
_space_group_name_H-M_alt 'P 1'
_space_group_IT_number 1
_cell_length_a 5.296
_cell_length_b 5.296
_cell_length_c 5.296
_cell_angle_alpha 90.00
_cell_angle_beta 90.00
_cell_angle_gamma 90.00
loop_
_space_group_symop_operation_xyz
'x,y,z'
loop_
_atom_site_label
_atom_site_fract_x
_atom_site_fract_y
_atom_site_fract_z
Sc1 0.500 0.500 0.500
Sn1 0.000 0.500 0.000
Sn2 0.000 0.000 0.500
Sn3 0.500 0.000 0.000
Ge1 0.000 0.000 0.000



# 3
# ScTc2SnGe (GGA-PBE, relaxed)
# calculated formation energy: 7.58 eV/f.u.
data_ScTc2SnGe
_space_group_name_H-M_alt 'P 1'
_space_group_IT_number 1
_cell_length_a 4.739
_cell_length_b 5.301
_cell_length_c 4.739
_cell_angle_alpha 90.00
_cell_angle_beta 90.00
_cell_angle_gamma 90.00
loop_
_space_group_symop_operation_xyz
'x,y,z'
loop_
_atom_site_label
_atom_site_fract_x
_atom_site_fract_y
_atom_site_fract_z
Ge1 0.500 0.500 0.500
Tc1 0.500 0.000 0.000
Tc2 0.000 0.000 0.500
Sc1 0.000 0.000 0.000
Sn1 0.000 0.500 0.000



# 4
# SrSc2Ge2 (GGA-PBE, relaxed)
# calculated formation energy: -2.60 eV/f.u.
# ΔE to the lowest computed polymorph: 106 meV per atom
data_SrSc2Ge2
_space_group_name_H-M_alt 'P 1'
_space_group_IT_number 1
_cell_length_a 8.358
_cell_length_b 8.358
_cell_length_c 3.300
_cell_angle_alpha 90.00
_cell_angle_beta 90.00
_cell_angle_gamma 90.00
loop_
_space_group_symop_operation_xyz
'x,y,z'
loop_
_atom_site_label
_atom_site_fract_x
_atom_site_fract_y
_atom_site_fract_z
Sc1 0.864 0.364 0.500
Sc2 0.136 0.636 0.500
Sc3 0.636 0.864 0.500
Sc4 0.364 0.136 0.500
Ge1 0.841 0.659 0.000
Ge2 0.159 0.341 0.000
Ge3 0.659 0.159 0.000
Ge4 0.341 0.841 0.000
Sr1 0.500 0.500 0.000
Sr2 0.000 0.000 0.000